1.
VASP calculation (PBE-GGA) on a relaxed Cu8Ge2P crystal.

## Properties
- Crystal system: orthorhombic

```
data_Cu8Ge2P
_chemical_formula_sum 'Cu8 Ge2 P1'
_space_group_name_H-M_alt 'P 1'
_space_group_IT_number 1
_cell_length_a 4.1331
_cell_length_b 5.6543
_cell_length_c 7.1536
_cell_angle_alpha 113.27
_cell_angle_beta 106.79
_cell_angle_gamma 90.00
loop_
_space_group_symop_operation_xyz
'x,y,z'
loop_
_atom_site_label
_atom_site_fract_x
_atom_site_fract_y
_atom_site_fract_z
Cu1 0.1834 0.1837 0.3667
Cu2 0.0001 0.7497 0.0001
Cu3 0.3569 0.5983 0.7138
Cu4 0.8166 0.8163 0.6333
Cu5 0.3566 0.1146 0.7132
Cu6 0.6434 0.8854 0.2868
Cu7 0.6431 0.4017 0.2862
Cu8 0.9999 0.2503 0.9999
Ge1 0.1750 0.6750 0.3500
Ge2 0.8250 0.3250 0.6500
P1 0.5000 0.0000 0.0000
```

=====

2.
VASP calculation (PBE-GGA) on a relaxed Cu3GeP crystal.

## Properties
- Crystal system: cubic
- Energy relative to the lowest polymorph listed for this composition: 0 meV per atom

```
data_Cu3GeP
_chemical_formula_sum 'Cu3 Ge1 P1'
_space_group_name_H-M_alt 'P 1'
_space_group_IT_number 1
_cell_length_a 4.3828
_cell_length_b 4.3828
_cell_length_c 4.3828
_cell_angle_alpha 90.00
_cell_angle_beta 90.00
_cell_angle_gamma 90.00
loop_
_space_group_symop_operation_xyz
'x,y,z'
loop_
_atom_site_label
_atom_site_fract_x
_atom_site_fract_y
_atom_site_fract_z
P1 0.0000 0.0000 0.0000
Cu1 0.0000 0.0000 0.5000
Cu2 0.0000 0.5000 0.0000
Cu3 0.5000 0.0000 0.0000
Ge1 0.5000 0.5000 0.5000
```

=====

3.
VASP calculation (PBE-GGA) on a relaxed CuGe2P2 crystal.

## Properties
- Crystal system: monoclinic

```
data_CuGe2P2
_chemical_formula_sum 'Cu1 Ge2 P2'
_space_group_name_H-M_alt 'P 1'
_space_group_IT_number 1
_cell_length_a 5.7579
_cell_length_b 5.7578
_cell_length_c 5.3275
_cell_angle_alpha 83.07
_cell_angle_beta 83.07
_cell_angle_gamma 139.91
loop_
_space_group_symop_operation_xyz
'x,y,z'
loop_
_atom_site_label
_atom_site_fract_x
_atom_site_fract_y
_atom_site_fract_z
Cu1 0.0000 0.0000 0.0000
P1 0.4454 0.4454 0.3082
P2 0.5546 0.5546 0.6918
Ge1 0.8329 0.1671 0.5000
Ge2 0.1671 0.8329 0.5000
```

=====

4.
VASP calculation (PBE-GGA) on a relaxed CuRe2GeP crystal.

## Properties
- Crystal system: tetragonal

```
data_CuRe2GeP
_chemical_formula_sum 'Cu1 Re2 Ge1 P1'
_space_group_name_H-M_alt 'P 1'
_space_group_IT_number 1
_cell_length_a 4.6879
_cell_length_b 3.8610
_cell_length_c 4.6879
_cell_angle_alpha 90.00
_cell_angle_beta 90.00
_cell_angle_gamma 90.00
loop_
_space_group_symop_operation_xyz
'x,y,z'
loop_
_atom_site_label
_atom_site_fract_x
_atom_site_fract_y
_atom_site_fract_z
Cu1 0.0000 0.0000 0.0000
Ge1 0.5000 0.5000 0.5000
Re1 0.5000 0.0000 0.0000
Re2 0.0000 0.0000 0.5000
P1 0.0000 0.5000 0.0000
```

=====

Record order is preserved below.
VASP energy: -0.3144; -0.3003; -0.3340; -0.4501 Ry/atom